# Ca3CdGe, optimized geometry, DFT PBE-GGA
# DFT formation energy, meV/atom: -219.9
data_Ca3CdGe
_space_group_name_H-M_alt 'P 1'
_space_group_IT_number 1
_space_group_name_Hall 'P 1'
_cell_length_a 5.6871
_cell_length_b 5.6871
_cell_length_c 5.6871
_cell_angle_alpha 90.00
_cell_angle_beta 90.00
_cell_angle_gamma 90.00
loop_
_atom_site_label
_atom_site_fract_x
_atom_site_fract_y
_atom_site_fract_z
_atom_site_occupancy
Ge1 0.0000 0.0000 0.0000 1
Ca1 0.0000 0.5000 0.0000 1
Ca2 0.0000 0.0000 0.5000 1
Ca3 0.5000 0.0000 0.0000 1
Cd1 0.5000 0.5000 0.5000 1

***

# CaCdGe2, optimized geometry, DFT PBE-GGA
# DFT formation energy, meV/atom: -72.4
data_CaCdGe2
_space_group_name_H-M_alt 'P 1'
_space_group_IT_number 1
_space_group_name_Hall 'P 1'
_cell_length_a 4.7463
_cell_length_b 4.7463
_cell_length_c 9.8297
_cell_angle_alpha 76.03
_cell_angle_beta 76.03
_cell_angle_gamma 90.00
loop_
_atom_site_label
_atom_site_fract_x
_atom_site_fract_y
_atom_site_fract_z
_atom_site_occupancy
Ge1 0.7049 0.1250 0.2500 1
Ge2 0.0451 0.6250 0.2500 1
Ge3 0.3750 0.2951 0.7500 1
Ge4 0.8750 0.9549 0.7500 1
Ca1 0.5000 0.5000 0.0000 1
Ca2 0.2500 0.7500 0.5000 1
Cd1 0.0000 0.0000 0.0000 1
Cd2 0.7500 0.2500 0.5000 1